1.
Computed, not measured: a relaxed HoCoCu crystal at the PBE-GGA level of DFT.

Summary:
- energy of formation from the pure elements (eV per atom) = -0.004
- E (eV/atom) = -5.26
- V (Å³ per cell) = 50.0

POSCAR file:
```
HoCoCu
1.0
-1.653 1.653 4.572
1.653 -1.653 4.572
1.653 1.653 -4.572
Ho Co Cu
1 1 1
direct
0.000 0.000 0.000
0.684 0.684 0.000
0.303 0.303 0.000
```

=====

2.
Computed, not measured: a relaxed Ho2CoCu crystal at the PBE-GGA level of DFT.

Summary:
- energy of formation from the pure elements (eV per atom) = -0.216
- E (eV/atom) = -5.31
- V (Å³ per cell) = 78.1

POSCAR file:
```
Ho2CoCu
1.0
3.367 0.000 0.000
0.000 3.367 0.000
0.000 0.000 6.889
Ho Co Cu
2 1 1
direct
0.000 0.000 0.239
0.000 0.000 0.761
0.500 0.500 0.000
0.500 0.500 0.500
```

=====

3.
Computed, not measured: a relaxed HoCo4Cu crystal at the PBE-GGA level of DFT.

Summary:
- energy of formation from the pure elements (eV per atom) = -0.116
- E (eV/atom) = -6.30
- V (Å³ per cell) = 83.1
- excess energy over the best structure of this formula in the dataset (eV per atom) = 0.000

POSCAR file:
```
HoCo4Cu
1.0
4.909 0.000 0.000
-2.454 4.251 0.000
0.000 0.000 3.982
Ho Co Cu
1 4 1
direct
0.000 0.000 0.000
0.501 0.002 0.500
0.501 0.499 0.500
0.667 0.333 0.000
0.998 0.499 0.500
0.333 0.667 0.000
```

=====

4.
Computed, not measured: a relaxed Ho12CoCu6 crystal at the PBE-GGA level of DFT.

Summary:
- energy of formation from the pure elements (eV per atom) = -0.007
- E (eV/atom) = -4.57
- V (Å³ per cell) = 495.6

POSCAR file:
```
Ho12CoCu6
1.0
6.040 3.487 3.922
-6.040 3.487 3.922
0.000 -6.974 3.922
Ho Co Cu
12 1 6
direct
0.026 0.923 0.683
0.077 0.317 0.974
0.190 0.566 0.418
0.317 0.974 0.077
0.418 0.190 0.566
0.434 0.582 0.810
0.566 0.418 0.190
0.582 0.810 0.434
0.683 0.026 0.923
0.810 0.434 0.582
0.923 0.683 0.026
0.974 0.077 0.317
0.000 0.000 0.000
0.127 0.312 0.633
0.312 0.633 0.127
0.367 0.873 0.688
0.633 0.127 0.312
0.688 0.367 0.873
0.873 0.688 0.367
```

=====

5.
Computed, not measured: a relaxed Ho2CoCu crystal at the PBE-GGA level of DFT.

Summary:
- energy of formation from the pure elements (eV per atom) = 0.340
- E (eV/atom) = -4.75
- V (Å³ per cell) = 102.4

POSCAR file:
```
Ho2CoCu
1.0
1.851 1.069 8.622
-1.851 1.069 8.622
0.000 -2.138 8.622
Ho Co Cu
2 1 1
direct
0.108 0.108 0.108
0.892 0.892 0.892
0.500 0.500 0.500
0.000 0.000 0.000
```

=====

6.
Computed, not measured: a relaxed Ho3Co7Cu2 crystal at the PBE-GGA level of DFT.

Summary:
- energy of formation from the pure elements (eV per atom) = -0.191
- E (eV/atom) = -6.16
- V (Å³ per cell) = 175.1

POSCAR file:
```
Ho3Co7Cu2
1.0
2.474 1.428 8.259
-2.474 1.428 8.259
0.000 -2.857 8.259
Ho Co Cu
3 7 2
direct
0.000 0.000 0.000
0.139 0.139 0.139
0.861 0.861 0.861
0.082 0.584 0.584
0.416 0.416 0.918
0.416 0.918 0.416
0.500 0.500 0.500
0.584 0.082 0.584
0.584 0.584 0.082
0.918 0.416 0.416
0.334 0.334 0.334
0.666 0.666 0.666
```

=====

7.
Computed, not measured: a relaxed Ho2CoCu crystal at the PBE-GGA level of DFT.

Summary:
- energy of formation from the pure elements (eV per atom) = -0.252
- E (eV/atom) = -5.34
- V (Å³ per cell) = 161.4

POSCAR file:
```
Ho2CoCu
1.0
5.473 0.000 0.000
0.000 4.193 0.000
-2.623 0.000 7.032
Ho Co Cu
4 2 2
direct
0.213 0.250 0.435
0.226 0.250 0.925
0.774 0.750 0.075
0.787 0.750 0.565
0.361 0.750 0.717
0.639 0.250 0.283
0.355 0.750 0.215
0.645 0.250 0.785
```

=====

8.
Computed, not measured: a relaxed HoInCoCu crystal at the PBE-GGA level of DFT.

Summary:
- energy of formation from the pure elements (eV per atom) = -0.162
- E (eV/atom) = -4.79
- V (Å³ per cell) = 70.3

POSCAR file:
```
HoInCoCu
1.0
0.000 3.275 3.275
3.275 0.000 3.275
3.275 3.275 0.000
Ho In Co Cu
1 1 1 1
direct
0.000 0.000 0.000
0.500 0.500 0.500
0.250 0.250 0.250
0.750 0.750 0.750
```

=====

9.
Computed, not measured: a relaxed HoMgCoCu crystal at the PBE-GGA level of DFT.

Summary:
- energy of formation from the pure elements (eV per atom) = -0.069
- E (eV/atom) = -4.41
- V (Å³ per cell) = 68.8

POSCAR file:
```
HoMgCoCu
1.0
0.000 3.253 3.253
3.253 0.000 3.253
3.253 3.253 0.000
Ho Mg Co Cu
1 1 1 1
direct
0.000 0.000 0.000
0.500 0.500 0.500
0.750 0.750 0.750
0.250 0.250 0.250
```

=====

- What is the formula in the ninth record?
  HoMgCoCu